1.
Ba4Hf3NpO12 | GGA-PBE | relaxed

Computed properties:
- formation energy (no corrections) (eV per atom) = -3.241

The structure in CIF format:
```
data_Ba4Hf3NpO12
_chemical_formula_sum 'Ba8 Hf6 Np2 O24'
_space_group_name_H-M_alt 'I m -3 m'
_space_group_IT_number 229
_space_group_name_Hall '-I 4 2 3'
_cell_length_a 8.526
_cell_length_b 8.526
_cell_length_c 8.526
_cell_angle_alpha 90.00
_cell_angle_beta 90.00
_cell_angle_gamma 90.00
loop_
_atom_site_label
_atom_site_type_symbol
_atom_site_fract_x
_atom_site_fract_y
_atom_site_fract_z
Ba1 Ba 0.250 0.250 0.250
Hf1 Hf 0.000 0.000 0.500
Np1 Np 0.000 0.000 0.000
O1 O 0.000 0.000 0.258
O2 O 0.000 0.250 0.500
```

=====

2.
KTl2Sb | GGA-PBE | relaxed

Computed properties:
- formation energy (no corrections) (eV per atom) = -0.119

The structure in CIF format:
```
data_KTl2Sb
_chemical_formula_sum 'K4 Tl8 Sb4'
_space_group_name_H-M_alt 'I -4 2 d'
_space_group_IT_number 122
_space_group_name_Hall 'I -4 2bw'
_cell_length_a 9.328
_cell_length_b 9.328
_cell_length_c 6.849
_cell_angle_alpha 90.00
_cell_angle_beta 90.00
_cell_angle_gamma 90.00
loop_
_atom_site_label
_atom_site_type_symbol
_atom_site_fract_x
_atom_site_fract_y
_atom_site_fract_z
K1 K 0.000 0.000 0.000
Tl1 Tl 0.198 0.250 0.625
Sb1 Sb 0.000 0.000 0.500
```

=====

3.
Cr3FeAg | GGA-PBE | relaxed

Computed properties:
- electronic total energy (eV per atom) = -6.86

The structure in CIF format:
```
data_Cr3FeAg
_chemical_formula_sum 'Cr3 Fe1 Ag1'
_space_group_name_H-M_alt 'P m -3 m'
_space_group_IT_number 221
_space_group_name_Hall '-P 4 2 3'
_cell_length_a 4.215
_cell_length_b 4.215
_cell_length_c 4.215
_cell_angle_alpha 90.00
_cell_angle_beta 90.00
_cell_angle_gamma 90.00
loop_
_atom_site_label
_atom_site_type_symbol
_atom_site_fract_x
_atom_site_fract_y
_atom_site_fract_z
Cr1 Cr 0.000 0.000 0.500
Fe1 Fe 0.000 0.000 0.000
Ag1 Ag 0.500 0.500 0.500
```

=====

4.
ErPaCd4 | GGA-PBE | relaxed

Computed properties:
- electronic total energy (eV per atom) = -2.94

The structure in CIF format:
```
data_ErPaCd4
_chemical_formula_sum 'Er4 Pa4 Cd16'
_space_group_name_H-M_alt 'F -4 3 m'
_space_group_IT_number 216
_space_group_name_Hall 'F -4 2 3'
_cell_length_a 8.319
_cell_length_b 8.319
_cell_length_c 8.319
_cell_angle_alpha 90.00
_cell_angle_beta 90.00
_cell_angle_gamma 90.00
loop_
_atom_site_label
_atom_site_type_symbol
_atom_site_fract_x
_atom_site_fract_y
_atom_site_fract_z
Er1 Er 0.000 0.000 0.000
Pa1 Pa 0.250 0.250 0.750
Cd1 Cd 0.125 0.125 0.375
```

=====

5.
MnAsBr2 | GGA-PBE | relaxed

Computed properties:
- formation energy (no corrections) (eV per atom) = 0.319

The structure in CIF format:
```
data_MnAsBr2
_chemical_formula_sum 'Mn2 As2 Br4'
_space_group_name_H-M_alt 'I -4 m 2'
_space_group_IT_number 119
_space_group_name_Hall 'I -4 -2'
_cell_length_a 3.926
_cell_length_b 3.926
_cell_length_c 12.795
_cell_angle_alpha 90.00
_cell_angle_beta 90.00
_cell_angle_gamma 90.00
loop_
_atom_site_label
_atom_site_type_symbol
_atom_site_fract_x
_atom_site_fract_y
_atom_site_fract_z
Mn1 Mn 0.000 0.000 0.000
As1 As 0.000 0.500 0.750
Br1 Br 0.000 0.000 0.500
Br2 Br 0.000 0.500 0.250
```

=====

6.
Zr2InCl | GGA-PBE | relaxed

Computed properties:
- formation energy (no corrections) (eV per atom) = 0.301

The structure in CIF format:
```
data_Zr2InCl
_chemical_formula_sum 'Zr8 In4 Cl4'
_space_group_name_H-M_alt 'F -4 3 m'
_space_group_IT_number 216
_space_group_name_Hall 'F -4 2 3'
_cell_length_a 7.190
_cell_length_b 7.190
_cell_length_c 7.190
_cell_angle_alpha 90.00
_cell_angle_beta 90.00
_cell_angle_gamma 90.00
loop_
_atom_site_label
_atom_site_type_symbol
_atom_site_fract_x
_atom_site_fract_y
_atom_site_fract_z
Zr1 Zr 0.000 0.000 0.000
Zr2 Zr 0.250 0.250 0.250
In1 In 0.250 0.250 0.750
Cl1 Cl 0.000 0.000 0.500
```

=====

7.
Ta2SiOs | GGA-PBE | relaxed

Computed properties:
- formation energy (no corrections) (eV per atom) = 0.016

The structure in CIF format:
```
data_Ta2SiOs
_chemical_formula_sum 'Ta6 Si3 Os3'
_space_group_name_H-M_alt 'R 3 m'
_space_group_IT_number 160
_space_group_name_Hall 'R 3 -2"'
_cell_length_a 2.9068
_cell_length_b 2.9068
_cell_length_c 26.4602
_cell_angle_alpha 90.00
_cell_angle_beta 90.00
_cell_angle_gamma 120.00
loop_
_atom_site_label
_atom_site_type_symbol
_atom_site_fract_x
_atom_site_fract_y
_atom_site_fract_z
Ta1 Ta 0.0000 0.0000 0.0000
Ta2 Ta 0.0000 0.0000 0.2377
Si1 Si 0.0000 0.0000 0.4887
Os1 Os 0.0000 0.0000 0.7517
```

=====

8.
CdAgF2 | GGA-PBE | relaxed

Computed properties:
- formation energy (no corrections) (eV per atom) = -1.105

The structure in CIF format:
```
data_CdAgF2
_chemical_formula_sum 'Cd3 Ag3 F6'
_space_group_name_H-M_alt 'R -3 m'
_space_group_IT_number 166
_space_group_name_Hall '-R 3 2"'
_cell_length_a 3.3097
_cell_length_b 3.3097
_cell_length_c 22.6942
_cell_angle_alpha 90.00
_cell_angle_beta 90.00
_cell_angle_gamma 120.00
loop_
_atom_site_label
_atom_site_type_symbol
_atom_site_fract_x
_atom_site_fract_y
_atom_site_fract_z
Cd1 Cd 0.0000 0.0000 0.0000
Ag1 Ag 0.0000 0.0000 0.5000
F1 F 0.0000 0.0000 0.0975
```

=====

9.
Na2Ge3Au17 | GGA-PBE | relaxed

Computed properties:
- electronic total energy (eV per atom) = -3.21

The structure in CIF format:
```
data_Na2Ge3Au17
_chemical_formula_sum 'Na6 Ge9 Au51'
_space_group_name_H-M_alt 'R -3 m'
_space_group_IT_number 166
_space_group_name_Hall '-R 3 2"'
_cell_length_a 10.5437
_cell_length_b 10.5437
_cell_length_c 14.9098
_cell_angle_alpha 90.00
_cell_angle_beta 90.00
_cell_angle_gamma 120.00
loop_
_atom_site_label
_atom_site_type_symbol
_atom_site_fract_x
_atom_site_fract_y
_atom_site_fract_z
Na1 Na 0.0000 0.0000 0.1998
Ge1 Ge 0.0000 0.5000 0.5000
Au1 Au 0.0000 0.0000 0.4058
Au2 Au 0.0000 0.2656 0.5000
Au3 Au 0.0000 0.5000 0.0000
Au4 Au 0.0379 0.5190 0.3345
```

=====

10.
CaPmSn | GGA-PBE | relaxed

Computed properties:
- electronic total energy (eV per atom) = -3.94

The structure in CIF format:
```
data_CaPmSn
_chemical_formula_sum 'Ca2 Pm2 Sn2'
_space_group_name_H-M_alt 'I 4 m m'
_space_group_IT_number 107
_space_group_name_Hall 'I 4 -2'
_cell_length_a 4.252
_cell_length_b 4.252
_cell_length_c 9.886
_cell_angle_alpha 90.00
_cell_angle_beta 90.00
_cell_angle_gamma 90.00
loop_
_atom_site_label
_atom_site_type_symbol
_atom_site_fract_x
_atom_site_fract_y
_atom_site_fract_z
Ca1 Ca 0.000 0.000 0.000
Pm1 Pm 0.000 0.000 0.678
Sn1 Sn 0.000 0.000 0.338
```

=====

11.
AlSbW | GGA-PBE | relaxed

Computed properties:
- formation energy (no corrections) (eV per atom) = 0.518

The structure in CIF format:
```
data_AlSbW
_chemical_formula_sum 'Al1 Sb1 W1'
_space_group_name_H-M_alt 'P -6 m 2'
_space_group_IT_number 187
_space_group_name_Hall 'P -6 2'
_cell_length_a 4.7835
_cell_length_b 4.7835
_cell_length_c 2.8495
_cell_angle_alpha 90.00
_cell_angle_beta 90.00
_cell_angle_gamma 120.00
loop_
_atom_site_label
_atom_site_type_symbol
_atom_site_fract_x
_atom_site_fract_y
_atom_site_fract_z
Al1 Al 0.0000 0.0000 0.0000
Sb1 Sb 0.6667 0.3333 0.5000
W1 W 0.3333 0.6667 0.5000
```

=====

12.
MnCrTe | GGA-PBE | relaxed

Computed properties:
- formation energy (no corrections) (eV per atom) = 0.113

The structure in CIF format:
```
data_MnCrTe
_chemical_formula_sum 'Mn4 Cr4 Te4'
_space_group_name_H-M_alt 'F -4 3 m'
_space_group_IT_number 216
_space_group_name_Hall 'F -4 2 3'
_cell_length_a 5.993
_cell_length_b 5.993
_cell_length_c 5.993
_cell_angle_alpha 90.00
_cell_angle_beta 90.00
_cell_angle_gamma 90.00
loop_
_atom_site_label
_atom_site_type_symbol
_atom_site_fract_x
_atom_site_fract_y
_atom_site_fract_z
Mn1 Mn 0.000 0.000 0.000
Cr1 Cr 0.250 0.250 0.250
Te1 Te 0.250 0.250 0.750
```

=====

Table of mass density (g/cm3), in record order: 8.11, 6.35, 7.09, 9.78, 4.88, 5.95, 14.93, 5.98, 12.54, 5.64, 9.78, 7.24